Computed, not measured: a geometry-optimized Tb3InSn2 structure at the PBE level of DFT.

- ΔE_f: -55.15 kJ per mole of atoms
- Electronic total energy: -4.6774 eV/atom
- Theoretical density: 8.18 g/cm³

```
data_Tb3InSn2
_cell_length_a 12.460
_cell_length_b 4.627
_cell_length_c 11.673
_cell_angle_alpha 90.00
_cell_angle_beta 90.00
_cell_angle_gamma 90.00
_symmetry_space_group_name_H-M 'P n m a'
_symmetry_Int_Tables_number 62
_symmetry_space_group_name_Hall '-P 2ac 2n'
loop_
_atom_site_label
_atom_site_type_symbol
_atom_site_fract_x
_atom_site_fract_y
_atom_site_fract_z
Tb1 Tb 0.038 0.250 0.122
Tb2 Tb 0.138 0.750 0.576
Tb3 Tb 0.204 0.250 0.814
In1 In 0.141 0.250 0.367
Sn1 Sn 0.006 0.750 0.320
Sn2 Sn 0.181 0.750 0.029
```